[1]
# GGA-PBE NdDy6Ho, optimized geometry
data_NdDy6Ho
_cell_length_a 6.718
_cell_length_b 6.534
_cell_length_c 6.964
_cell_angle_alpha 104.63
_cell_angle_beta 61.78
_cell_angle_gamma 89.97
_space_group_name_H-M_alt 'P 1'
_space_group_IT_number 1
loop_
_space_group_symop_operation_xyz
'x,y,z'
loop_
_atom_site_label
_atom_site_type_symbol
_atom_site_fract_x
_atom_site_fract_y
_atom_site_fract_z
Dy1 Dy 0.903 0.272 0.528
Dy2 Dy 0.424 0.232 0.482
Dy3 Dy 0.576 0.768 0.518
Dy4 Dy 0.097 0.728 0.472
Ho1 Ho 0.000 0.500 0.000
Dy5 Dy 0.456 0.253 0.002
Nd1 Nd 0.000 0.000 0.000
Dy6 Dy 0.544 0.747 0.998
# formation enthalpy at 0 K: 0.2041 eV per atom
# distance to the lowest polymorph of the same formula: 182.1 meV/atom

=====

[2]
# GGA-PBE TiAgS, optimized geometry
data_TiAgS
_cell_length_a 3.241
_cell_length_b 3.241
_cell_length_c 26.999
_cell_angle_alpha 90.00
_cell_angle_beta 90.00
_cell_angle_gamma 120.00
_space_group_name_H-M_alt 'P 1'
_space_group_IT_number 1
loop_
_space_group_symop_operation_xyz
'x,y,z'
loop_
_atom_site_label
_atom_site_type_symbol
_atom_site_fract_x
_atom_site_fract_y
_atom_site_fract_z
Ti1 Ti 0.667 0.333 0.455
Ag1 Ag 0.667 0.333 0.041
Ag2 Ag 0.667 0.333 0.145
S1 S 0.333 0.667 0.722
Ti2 Ti 0.667 0.333 0.774
Ti3 Ti 0.333 0.667 0.545
Ag3 Ag 0.333 0.667 0.959
S2 S 0.667 0.333 0.597
S3 S 0.667 0.333 0.278
Ag4 Ag 0.333 0.667 0.855
S4 S 0.333 0.667 0.403
Ti4 Ti 0.333 0.667 0.226
# energy relative to the elements, uncorrected: -1.34 eV per formula unit

=====

[3]
# GGA-PBE LaCoCu2, optimized geometry
data_LaCoCu2
_cell_length_a 4.217
_cell_length_b 4.217
_cell_length_c 5.343
_cell_angle_alpha 66.74
_cell_angle_beta 66.74
_cell_angle_gamma 59.98
_space_group_name_H-M_alt 'P 1'
_space_group_IT_number 1
loop_
_space_group_symop_operation_xyz
'x,y,z'
loop_
_atom_site_label
_atom_site_type_symbol
_atom_site_fract_x
_atom_site_fract_y
_atom_site_fract_z
La1 La 0.498 0.498 0.507
Co1 Co 0.314 0.314 0.058
Cu1 Cu 0.695 0.695 0.915
Cu2 Cu 0.993 0.993 0.019
# formation enthalpy at 0 K: -0.0688 eV per atom

=====

[4]
# GGA-PBE Pr3Mg2Au4, optimized geometry
data_Pr3Mg2Au4
_cell_length_a 4.686
_cell_length_b 6.261
_cell_length_c 8.575
_cell_angle_alpha 73.90
_cell_angle_beta 74.14
_cell_angle_gamma 68.02
_space_group_name_H-M_alt 'P 1'
_space_group_IT_number 1
loop_
_space_group_symop_operation_xyz
'x,y,z'
loop_
_atom_site_label
_atom_site_type_symbol
_atom_site_fract_x
_atom_site_fract_y
_atom_site_fract_z
Au1 Au 0.284 0.361 0.070
Mg1 Mg 0.669 0.003 0.659
Au2 Au 0.926 0.748 0.400
Au3 Au 0.716 0.639 0.930
Pr1 Pr 0.000 0.000 0.000
Pr2 Pr 0.636 0.424 0.304
Au4 Au 0.074 0.252 0.600
Pr3 Pr 0.364 0.576 0.696
Mg2 Mg 0.331 0.997 0.341
# formation enthalpy at 0 K: -0.6807 eV per atom
# distance to the lowest polymorph of the same formula: 0.0 meV/atom

=====

[5]
# GGA-PBE KTlSnTe2, optimized geometry
data_KTlSnTe2
_cell_length_a 5.522
_cell_length_b 9.630
_cell_length_c 9.572
_cell_angle_alpha 57.53
_cell_angle_beta 90.00
_cell_angle_gamma 106.66
_space_group_name_H-M_alt 'P 1'
_space_group_IT_number 1
loop_
_space_group_symop_operation_xyz
'x,y,z'
loop_
_atom_site_label
_atom_site_type_symbol
_atom_site_fract_x
_atom_site_fract_y
_atom_site_fract_z
Sn1 Sn 0.943 0.886 0.873
Sn2 Sn 0.057 0.114 0.127
Tl1 Tl 0.754 0.508 0.795
Te1 Te 0.383 0.766 0.813
Tl2 Tl 0.246 0.492 0.205
Te2 Te 0.617 0.234 0.187
Te3 Te 0.858 0.716 0.240
K1 K 0.620 0.239 0.554
K2 K 0.380 0.761 0.446
Te4 Te 0.142 0.284 0.760
# energy relative to the elements, uncorrected: -2.44 eV per formula unit

=====

[6]
Sc2CoH4 | GGA-PBE | optimized geometry

Cell and atoms, written as CIF:
```
data_Sc2CoH4
_cell_length_a 4.820
_cell_length_b 4.331
_cell_length_c 6.554
_cell_angle_alpha 90.00
_cell_angle_beta 100.15
_cell_angle_gamma 90.00
_space_group_name_H-M_alt 'P 1'
_space_group_IT_number 1
loop_
_space_group_symop_operation_xyz
'x,y,z'
loop_
_atom_site_label
_atom_site_type_symbol
_atom_site_fract_x
_atom_site_fract_y
_atom_site_fract_z
H1 H 0.059 0.750 0.360
Co1 Co 0.312 0.750 0.223
Sc1 Sc 0.752 0.750 0.559
H2 H 0.811 0.250 0.018
H3 H 0.458 0.514 0.724
H4 H 0.542 0.486 0.276
Sc2 Sc 0.767 0.750 0.054
H5 H 0.941 0.250 0.640
Sc3 Sc 0.248 0.250 0.441
Sc4 Sc 0.233 0.250 0.946
H6 H 0.542 0.014 0.276
H7 H 0.458 0.986 0.724
Co2 Co 0.688 0.250 0.777
H8 H 0.189 0.750 0.982
```

=====

[7]
# GGA-PBE DyBeAs, optimized geometry
data_DyBeAs
_cell_length_a 6.023
_cell_length_b 6.023
_cell_length_c 11.628
_cell_angle_alpha 90.00
_cell_angle_beta 90.00
_cell_angle_gamma 120.00
_space_group_name_H-M_alt 'P 1'
_space_group_IT_number 1
loop_
_space_group_symop_operation_xyz
'x,y,z'
loop_
_atom_site_label
_atom_site_type_symbol
_atom_site_fract_x
_atom_site_fract_y
_atom_site_fract_z
Dy1 Dy 0.500 0.000 0.392
As1 As 0.000 0.000 0.167
Be1 Be 0.591 0.409 0.500
Be2 Be 0.591 0.182 0.167
As2 As 0.000 0.500 0.333
Dy2 Dy 0.500 0.000 0.942
As3 As 0.500 0.000 0.667
Be3 Be 0.409 0.591 0.500
Be4 Be 0.409 0.818 0.167
Dy3 Dy 0.000 0.500 0.058
Be5 Be 0.818 0.409 0.833
Dy4 Dy 0.500 0.500 0.725
As4 As 0.000 0.000 0.500
Dy5 Dy 0.000 0.500 0.608
As5 As 0.500 0.500 0.000
Be6 Be 0.182 0.591 0.833
As6 As 0.000 0.000 0.833
Dy6 Dy 0.500 0.500 0.275
# formation enthalpy at 0 K: 0.1348 eV per atom

=====

[8]
# GGA-PBE NaCa6Ag2, optimized geometry
data_NaCa6Ag2
_cell_length_a 9.301
_cell_length_b 9.301
_cell_length_c 9.301
_cell_angle_alpha 102.77
_cell_angle_beta 112.09
_cell_angle_gamma 113.76
_space_group_name_H-M_alt 'P 1'
_space_group_IT_number 1
loop_
_space_group_symop_operation_xyz
'x,y,z'
loop_
_atom_site_label
_atom_site_type_symbol
_atom_site_fract_x
_atom_site_fract_y
_atom_site_fract_z
Ca1 Ca 0.524 0.710 0.814
Ca2 Ca 0.793 0.241 0.034
Ca3 Ca 0.207 0.241 0.447
Ag1 Ag 0.656 0.000 0.656
Ca4 Ca 0.896 0.710 0.186
Na1 Na 0.000 0.000 0.000
Ca5 Ca 0.207 0.759 0.966
Ag2 Ag 0.500 0.376 0.876
Ag3 Ag 0.344 0.000 0.344
Ag4 Ag 0.500 0.624 0.124
Ca6 Ca 0.306 0.979 0.673
Ca7 Ca 0.104 0.290 0.814
Ca8 Ca 0.306 0.632 0.327
Ca9 Ca 0.694 0.368 0.673
Na2 Na 0.000 0.500 0.500
Ca10 Ca 0.476 0.290 0.186
Ca11 Ca 0.793 0.759 0.553
Ca12 Ca 0.694 0.021 0.327
# formation enthalpy at 0 K: -0.1523 eV per atom

=====

So what do the calculations give for magnetization? Going down the list: 0.00 0.73 0.01 0.00 0.00 0.00 0.00 0.00 μB/f.u..
So what do the calculations give for DOS at the Fermi energy? Going down the list: 13.38 1.48 3.72 5.00 0.03 3.13 2.66 6.61 states/eV/f.u..
So what do the calculations give for energy? Going down the list: -0.3245 -0.3971 -0.3767 -0.3002 -0.2380 -0.3818 -0.3080 -0.1666 Ry per atom.